VASP calculation (GGA-PBE) on a geometry-optimized TaCu2NiS4 structure.

The structure in POSCAR format:
```
TaCu2NiS4
1.0
5.3242 0.2189 -0.0005
-0.2235 5.3240 -0.0005
-2.5508 -2.7720 5.2590
S Cu Ta Ni
4 2 1 1
Cartesian
3.9658 1.4688 1.3029
1.3025 1.4154 3.9539
-1.3035 -1.4165 3.9542
1.1348 4.0740 1.3029
-0.1118 2.6619 2.6306
2.6620 0.1094 2.6306
-0.0005 -0.0005 5.2578
0.0000 0.0000 0.0027
```

Values from the calculation:
density of states at the Fermi level	0.51	states/eV/atom
total DFT energy (no corrections)	-46.151	eV for the cell shown

=====

VASP calculation (GGA-PBE) on a geometry-optimized CuNiTeS4 structure.

The structure in POSCAR format:
```
CuNiTeS4
1.0
7.2022 0.0000 0.0000
3.6011 6.2887 0.1258
3.6011 2.0356 5.9515
S Cu Te Ni
8 2 2 2
Cartesian
8.8798 5.4085 1.7159
7.2022 2.0103 1.7292
8.8798 2.9158 4.3614
7.2022 6.3140 4.3480
5.5246 5.4085 1.7159
5.5246 2.9158 4.3614
3.6011 1.9027 1.6507
10.8033 6.4216 4.4266
7.2022 4.2488 5.3346
7.2022 4.0755 0.7427
3.6011 4.1622 3.0386
0.0000 0.0000 0.0000
5.4016 1.0178 2.9757
1.8005 1.0178 2.9757
```

Values from the calculation:
density of states at the Fermi level	0.59	states/eV/atom
total DFT energy (no corrections)	-59.907	eV for the cell shown

=====

VASP calculation (GGA-PBE) on a geometry-optimized Tl2CuNiS2 structure.

The structure in POSCAR format:
```
Tl2CuNiS2
1.0
5.4300 0.0000 0.0000
0.0000 5.5038 0.0000
-2.7150 -2.7519 8.4756
S Tl Ni Cu
4 4 2 2
Cartesian
4.1499 0.0000 1.3400
1.2801 2.7519 1.3400
-1.4349 2.7519 7.1356
1.4349 0.0000 7.1356
1.3239 2.7519 5.6440
4.0389 2.7519 2.8317
-1.3239 0.0000 5.6440
1.3911 0.0000 2.8317
0.0000 4.1279 0.0000
0.0000 1.3760 0.0000
2.7150 1.3760 0.0000
2.7150 4.1279 0.0000
```

Values from the calculation:
density of states at the Fermi level	0.70	states/eV/atom
total DFT energy (no corrections)	-48.312	eV for the cell shown

=====

VASP calculation (GGA-PBE) on a geometry-optimized TlCuNiS2 structure.

The structure in POSCAR format:
```
TlCuNiS2
1.0
5.2328 0.0000 0.0000
0.0000 5.4298 0.0000
0.0000 -2.7149 6.9238
Cu Tl Ni S
2 2 2 4
Cartesian
0.0000 0.0000 0.0000
0.0000 2.7149 0.0000
1.1918 2.7149 3.4619
4.0410 0.0000 3.4619
2.6164 4.0724 0.0000
2.6164 1.3575 0.0000
1.5975 0.0000 5.4456
3.6354 2.7149 5.4456
1.5975 0.0000 1.4783
3.6354 2.7149 1.4783
```

Values from the calculation:
density of states at the Fermi level	0.74	states/eV/atom
total DFT energy (no corrections)	-43.243	eV for the cell shown

=====

VASP calculation (GGA-PBE) on a geometry-optimized VCu2NiS4 structure.

The structure in POSCAR format:
```
VCu2NiS4
1.0
-3.0959 -0.6136 -4.1797
-2.9772 -3.3569 2.7016
0.0799 5.9062 2.3532
S Cu V Ni
4 2 1 1
Cartesian
-0.7418 3.9681 1.5947
-3.7146 -1.7273 1.3533
-3.7734 -0.3670 -2.0591
-3.7565 1.9971 0.8610
-2.9674 0.2827 2.1581
-3.0267 1.6543 -1.2825
-2.9563 3.9205 1.6139
-0.0014 0.0018 0.0007
```

Values from the calculation:
density of states at the Fermi level	0.60	states/eV/atom
total DFT energy (no corrections)	-43.341	eV for the cell shown

=====

VASP calculation (GGA-PBE) on a geometry-optimized Zn2CuNiS structure.

The structure in POSCAR format:
```
Zn2CuNiS
1.0
4.6794 0.0000 0.0000
0.0000 4.0802 0.0000
0.0000 0.0000 4.6794
Zn Cu S Ni
2 1 1 1
Cartesian
2.3397 0.0000 0.0000
0.0000 0.0000 2.3397
2.3397 2.0401 2.3397
0.0000 0.0000 0.0000
0.0000 2.0401 0.0000
```

Values from the calculation:
density of states at the Fermi level	0.77	states/eV/atom
total DFT energy (no corrections)	-14.136	eV for the cell shown

=====

VASP calculation (GGA-PBE) on a geometry-optimized CuNiSb structure.

The structure in POSCAR format:
```
CuNiSb
1.0
-0.2123 1.4097 -3.6201
-0.7235 -5.6591 -2.1612
-8.0762 0.7414 0.7624
Ni Sb Cu
4 4 4
Cartesian
-1.3026 -2.4200 -1.9113
-7.7094 -1.0880 -3.1076
-5.6963 -4.8307 -2.5923
-3.3157 1.3226 -2.4266
-3.2114 -0.9190 -1.2149
-7.2166 -0.2913 -0.7355
-5.8007 -2.5890 -3.8040
-1.7954 -3.2167 -4.2833
-5.3312 -0.1379 -2.8771
-1.2328 -0.0370 -3.0782
-7.7793 -3.4710 -1.9407
-3.6809 -3.3701 -2.1418
```

Values from the calculation:
density of states at the Fermi level	0.49	states/eV/atom
total DFT energy (no corrections)	-57.391	eV for the cell shown

=====

VASP calculation (GGA-PBE) on a geometry-optimized CuNiSb2 structure.

The structure in POSCAR format:
```
CuNiSb2
1.0
-0.1213 1.6736 -3.4089
1.8026 -1.5345 -2.9720
-4.5284 -3.1892 -3.4763
Cu Sb Ni
1 2 1
Cartesian
-2.1354 -2.2876 -7.3929
1.5616 0.0635 -6.4089
-1.3040 -1.4495 -4.9006
-0.7118 -0.7625 -2.4643
```

Values from the calculation:
density of states at the Fermi level	0.53	states/eV/atom
total DFT energy (no corrections)	-17.931	eV for the cell shown

=====

VASP calculation (GGA-PBE) on a geometry-optimized CuNi9Sb2 structure.

The structure in POSCAR format:
```
CuNi9Sb2
1.0
3.6943 0.0000 0.0000
0.0000 3.6943 0.0000
0.0000 0.0000 10.8573
Ni Sb Cu
9 2 1
Cartesian
0.0000 1.8472 9.1764
0.0000 1.8472 1.6809
1.8472 0.0000 1.6809
0.0000 1.8472 5.4286
1.8472 0.0000 5.4286
1.8472 1.8472 3.6053
1.8472 0.0000 9.1764
1.8472 1.8472 7.2519
1.8472 1.8472 0.0000
0.0000 0.0000 7.3551
0.0000 0.0000 3.5021
0.0000 0.0000 0.0000
```

Values from the calculation:
density of states at the Fermi level	0.89	states/eV/atom
total DFT energy (no corrections)	-65.420	eV for the cell shown

=====

VASP calculation (GGA-PBE) on a geometry-optimized CuNi2Sb structure.

The structure in POSCAR format:
```
CuNi2Sb
1.0
-2.1044 -0.7984 2.5420
-1.9804 -1.4351 -2.0902
2.5180 -4.4674 0.6815
Ni Sb Cu
2 1 1
Cartesian
2.4835 -4.4062 0.6722
-1.4131 -2.2332 0.3962
1.2139 -2.1536 0.3285
-0.0741 -4.6090 0.7586
```

Values from the calculation:
density of states at the Fermi level	0.65	states/eV/atom
total DFT energy (no corrections)	-19.503	eV for the cell shown

=====

VASP calculation (GGA-PBE) on a geometry-optimized Cu2NiSb structure.

The structure in POSCAR format:
```
Cu2NiSb
1.0
-1.9454 2.7660 -2.6839
-1.3301 -1.3351 -3.8842
-4.2206 -0.3937 -0.8187
Ni Cu Sb
1 2 1
Cartesian
-3.7480 0.5186 -3.6934
-5.6221 0.7780 -5.5401
0.0000 0.0000 0.0000
-1.8740 0.2593 -1.8467
```

Values from the calculation:
density of states at the Fermi level	0.56	states/eV/atom
total DFT energy (no corrections)	-17.976	eV for the cell shown

=====

VASP calculation (GGA-PBE) on a geometry-optimized CuNiSb2 structure.

The structure in POSCAR format:
```
CuNiSb2
1.0
5.6615 0.0159 0.0000
2.9915 4.8066 0.0000
-4.3265 -2.4113 2.7423
Ni Sb Cu
1 2 1
Cartesian
2.8307 0.0079 1.3711
1.4957 2.4033 1.3711
0.0000 0.0000 0.0000
4.3265 2.4113 0.0000
```

Values from the calculation:
density of states at the Fermi level	0.42	states/eV/atom
total DFT energy (no corrections)	-17.111	eV for the cell shown

=====

VASP calculation (GGA-PBE) on a geometry-optimized Cu2Ni8Sb structure.

The structure in POSCAR format:
```
Cu2Ni8Sb
1.0
-0.6519 1.6142 3.5367
-5.8996 -0.9781 -0.6599
2.1366 -4.9655 2.6412
Sb Cu Ni
1 2 8
Cartesian
-0.3260 0.8071 1.7684
-0.9097 -3.4540 1.3898
-2.8532 -2.4897 0.5914
-1.7497 -0.4650 -0.1097
-0.2450 -3.1384 3.5651
-2.8130 -3.1213 3.0778
0.4611 -1.5619 0.7984
-4.1699 -1.1910 1.9528
-1.6018 -1.2081 2.4402
-4.8759 -2.7675 4.7195
-2.6651 -3.8645 5.6277
```

Values from the calculation:
density of states at the Fermi level	1.36	states/eV/atom
total DFT energy (no corrections)	-56.715	eV for the cell shown

=====

VASP calculation (GGA-PBE) on a geometry-optimized CuNi2Sb2 structure.

The structure in POSCAR format:
```
CuNi2Sb2
1.0
7.3292 0.0000 0.0000
0.0000 7.3292 0.0000
0.0000 0.0000 3.1963
Ni Sb Cu
4 4 2
Cartesian
6.4323 2.7677 1.5981
0.8969 4.5615 1.5981
4.5615 6.4323 1.5981
2.7677 0.8969 1.5981
4.9237 1.2591 0.0000
1.2591 2.4055 0.0000
6.0701 4.9237 0.0000
2.4055 6.0701 0.0000
3.6646 3.6646 0.0000
0.0000 0.0000 0.0000
```

Values from the calculation:
density of states at the Fermi level	0.46	states/eV/atom
total DFT energy (no corrections)	-46.205	eV for the cell shown

=====

VASP calculation (GGA-PBE) on a geometry-optimized CuNi2Sb structure.

The structure in POSCAR format:
```
CuNi2Sb
1.0
-1.1822 2.8019 -6.0506
-3.9770 -5.2286 -1.6442
-4.6208 0.0324 -2.8717
Ni Sb Cu
4 2 2
Cartesian
-7.9383 -2.0444 -8.8695
-2.3788 1.0764 -4.6418
-3.8010 -2.8802 -2.5652
-5.4419 -0.9404 -5.0565
0.0000 0.0000 0.0000
-4.1913 0.8105 -6.3848
-5.5887 -3.2048 -4.1816
-2.5796 -1.2134 -3.8474
```

Values from the calculation:
density of states at the Fermi level	0.49	states/eV/atom
total DFT energy (no corrections)	-37.920	eV for the cell shown

=====

VASP calculation (GGA-PBE) on a geometry-optimized CuNiSb structure.

The structure in POSCAR format:
```
CuNiSb
1.0
4.1345 0.0000 0.0000
-2.0672 3.5806 0.0000
0.0000 0.0000 3.2236
Cu Sb Ni
1 1 1
Cartesian
0.0000 0.0000 0.1779
0.0000 2.3870 2.0564
2.0672 1.1935 0.9893
```

Values from the calculation:
density of states at the Fermi level	0.63	states/eV/atom
total DFT energy (no corrections)	-13.527	eV for the cell shown

=====

VASP calculation (GGA-PBE) on a geometry-optimized CuNiSb2 structure.

The structure in POSCAR format:
```
CuNiSb2
1.0
4.7223 0.0185 -0.0629
-0.5439 4.6909 -0.0629
0.0453 0.0510 3.3218
Sb Cu Ni
2 1 1
Cartesian
2.0892 2.3547 -0.0629
0.0000 0.0000 0.0000
2.3838 0.0347 1.6295
-0.2493 2.3709 1.6295
```

Values from the calculation:
density of states at the Fermi level	0.40	states/eV/atom
total DFT energy (no corrections)	-17.241	eV for the cell shown

=====

VASP calculation (GGA-PBE) on a geometry-optimized CuNiSb2 structure.

The structure in POSCAR format:
```
CuNiSb2
1.0
-2.2653 2.4794 0.7025
-3.5597 -2.0089 -4.3887
-4.0202 -3.5237 -0.5274
Sb Cu Ni
2 1 1
Cartesian
0.0000 0.0000 0.0000
-2.9125 0.2352 -1.8431
-4.9226 -1.5266 -2.1068
-2.0101 -1.7618 -0.2637
```

Values from the calculation:
density of states at the Fermi level	0.53	states/eV/atom
total DFT energy (no corrections)	-17.747	eV for the cell shown

=====

VASP calculation (GGA-PBE) on a geometry-optimized CuNiSb2 structure.

The structure in POSCAR format:
```
CuNiSb2
1.0
6.3445 0.0000 0.0000
0.0000 6.3445 0.0000
3.1722 3.1722 4.6021
Ni Sb Cu
2 4 2
Cartesian
3.1722 6.3445 2.3011
3.1722 3.1722 0.0000
4.7583 4.8467 3.4516
4.6700 1.5861 1.1505
1.6744 4.7583 1.1505
7.9306 7.8422 3.4516
6.3445 3.1722 2.3011
0.0000 0.0000 0.0000
```

Values from the calculation:
density of states at the Fermi level	0.71	states/eV/atom
total DFT energy (no corrections)	-34.373	eV for the cell shown

=====

VASP calculation (GGA-PBE) on a geometry-optimized CuNiSb2 structure.

The structure in POSCAR format:
```
CuNiSb2
1.0
-1.3878 0.0686 4.4948
-1.9342 3.8900 1.8056
-4.5865 0.0795 1.0449
Ni Cu Sb
1 1 2
Cartesian
0.0000 0.0000 0.0000
-3.9542 2.0191 3.6726
-1.9771 1.0095 1.8363
-5.9313 3.0286 5.5089
```

Values from the calculation:
density of states at the Fermi level	0.60	states/eV/atom
total DFT energy (no corrections)	-17.260	eV for the cell shown

=====

VASP calculation (GGA-PBE) on a geometry-optimized CuNiSb2 structure.

The structure in POSCAR format:
```
CuNiSb2
1.0
-2.8803 0.9164 -0.9716
0.2916 -1.8299 -2.5781
-3.0056 -5.5961 3.6320
Sb Cu Ni
2 1 1
Cartesian
-2.9589 -5.5091 3.5756
-1.5495 -2.8851 1.8725
-2.0457 -1.8558 -0.8668
-3.5486 -4.6538 0.9492
```

Values from the calculation:
density of states at the Fermi level	0.48	states/eV/atom
total DFT energy (no corrections)	-17.374	eV for the cell shown

=====

VASP calculation (GGA-PBE) on a geometry-optimized CuNi2Sb2 structure.

The structure in POSCAR format:
```
CuNi2Sb2
1.0
-6.5430 0.9629 -1.1717
0.1549 -4.7376 -4.7583
-0.8210 -2.5372 2.4994
Sb Ni Cu
4 4 2
Cartesian
-5.7871 -2.0310 -1.2903
-1.4220 -4.2808 -2.1403
-4.6688 -4.5530 -3.4831
-2.5403 -1.7589 0.0525
-0.8203 -1.6048 -1.8984
-2.2604 -3.7502 -4.5494
-4.1277 -0.0245 -1.3807
-5.5678 -2.1699 -4.0316
-3.1940 -1.8873 -2.9650
0.0000 0.0000 0.0000
```

Values from the calculation:
density of states at the Fermi level	0.63	states/eV/atom
total DFT energy (no corrections)	-47.393	eV for the cell shown

=====

VASP calculation (GGA-PBE) on a geometry-optimized CuNi4Sb structure.

The structure in POSCAR format:
```
CuNi4Sb
1.0
-0.2158 -2.7852 3.8918
1.1307 1.7945 4.2955
-3.4240 0.7182 3.2727
Ni Cu Sb
4 1 1
Cartesian
-1.0480 -1.5001 6.2454
-2.6584 0.2585 5.9346
-0.3721 0.7988 6.4481
-0.9397 -0.1020 4.2919
0.0000 0.0000 0.0000
-1.8818 -0.2043 8.5950
```

Values from the calculation:
density of states at the Fermi level	1.23	states/eV/atom
total DFT energy (no corrections)	-30.901	eV for the cell shown

=====

VASP calculation (GGA-PBE) on a geometry-optimized CuNiSb structure.

The structure in POSCAR format:
```
CuNiSb
1.0
4.5859 0.0216 -0.0462
2.0323 4.1111 0.0462
-3.2845 -2.1058 2.4302
Sb Cu Ni
1 1 1
Cartesian
4.4377 2.7712 0.0000
6.5956 4.1186 0.0000
2.2030 1.3757 0.0000
```

Values from the calculation:
density of states at the Fermi level	0.47	states/eV/atom
total DFT energy (no corrections)	-13.948	eV for the cell shown

=====

VASP calculation (GGA-PBE) on a geometry-optimized Cu2NiSb structure.

The structure in POSCAR format:
```
Cu2NiSb
1.0
3.9713 -0.0001 0.0001
-1.9868 3.4386 -0.0001
0.0001 0.0000 4.8688
Cu Ni Sb
2 1 1
Cartesian
1.9857 1.1458 4.0400
-0.0011 2.2926 0.8288
0.0000 0.0000 0.0000
0.0000 0.0000 2.4344
```

Values from the calculation:
density of states at the Fermi level	0.28	states/eV/atom
total DFT energy (no corrections)	-17.384	eV for the cell shown

=====

VASP calculation (GGA-PBE) on a geometry-optimized Cu2NiSb structure.

The structure in POSCAR format:
```
Cu2NiSb
1.0
4.6458 0.0134 -0.0137
3.0232 3.5276 -0.0137
1.6210 0.7485 3.4355
Sb Ni Cu
1 1 2
Cartesian
6.9673 3.2170 2.5560
4.6454 2.1450 1.7040
7.6686 3.5408 -0.0267
2.3225 1.0724 0.8516
```

Values from the calculation:
density of states at the Fermi level	0.40	states/eV/atom
total DFT energy (no corrections)	-18.073	eV for the cell shown